No. 1
Material: Sc2TiAu2
Method: DFT, PBE
State: relaxed

Density of states at the Fermi level: 0.91 states/eV per atom
ΔE_f: -0.490 eV per atom
Energy above the most stable polymorph in this dataset: 0 kJ/mol of formula units
Energy: -5.912 eV per atom

a = 7.660 Å, b = 7.660 Å, c = 3.430 Å
α = 90.00°, β = 90.00°, γ = 90.00°
Element x y z (fractional)
Sc: 0.165 0.335 0.000
Sc: 0.335 0.835 0.000
Sc: 0.665 0.165 0.000
Sc: 0.835 0.665 0.000
Ti: 0.000 0.000 0.500
Ti: 0.500 0.500 0.500
Au: 0.135 0.635 0.500
Au: 0.365 0.135 0.500
Au: 0.635 0.865 0.500
Au: 0.865 0.365 0.500



No. 2
Material: Th6Co2Pd
Method: DFT, PBE
State: relaxed

Density of states at the Fermi level: 1.28 states/eV per atom
ΔE_f: -0.236 eV per atom
Energy: -7.339 eV per atom

a = 8.454 Å, b = 8.454 Å, c = 8.454 Å
α = 116.35°, β = 109.63°, γ = 102.72°
Element x y z (fractional)
Th: 0.034 0.228 0.806
Th: 0.180 0.296 0.476
Th: 0.180 0.704 0.884
Th: 0.333 0.033 0.700
Th: 0.333 0.633 0.300
Th: 0.422 0.228 0.194
Th: 0.578 0.772 0.806
Th: 0.667 0.367 0.700
Th: 0.667 0.967 0.300
Th: 0.820 0.296 0.116
Th: 0.820 0.704 0.524
Th: 0.966 0.772 0.194
Co: 0.130 0.630 0.500
Co: 0.357 0.000 0.357
Co: 0.643 0.000 0.643
Co: 0.870 0.370 0.500
Pd: 0.000 0.000 0.000
Pd: 0.500 0.500 0.000